# Y3Ho6Er2In

An optimized crystal structure of Y3Ho6Er2In (PBE, the Alexandria database).

The volume comes out at 729 Å³ per cell. For the formation energy, the calculation gives -0.8 kcal/mol of atoms. As for the total energy: -4.93 eV per atom.

The space group is C2/m (No. 12) and the conventional cell measures 6.073, 10.530 and 11.579 Å, with angles of 90.00, 100.15 and 90.00 degrees. The distinct sites, in fractional coordinates, are Y at (0.000, 0.000, 0.000), Y at (0.000, 0.333, 0.000), Ho at (0.246, 0.335, 0.745), Ho at (0.248, 0.500, 0.254), Er at (0.000, 0.166, 0.500) and In at (0.000, 0.500, 0.500).

=====

# YHoErIn

An optimized crystal structure of YHoErIn (PBE, the Alexandria database).

The volume comes out at 113 Å³ per cell. For the formation energy, the calculation gives -6.1 kcal/mol of atoms. As for the total energy: -4.85 eV per atom.

The space group is Pmmm (No. 47) and the conventional cell measures 4.819, 4.822 and 4.846 Å, with angles of 90.00, 90.00 and 90.00 degrees. The distinct sites, in fractional coordinates, are Y at (0.000, 0.000, 0.000), Ho at (0.000, 0.500, 0.500), Er at (0.500, 0.000, 0.500) and In at (0.500, 0.500, 0.000).

=====

# HoEr2Zn2In2

An optimized crystal structure of HoEr2Zn2In2 (PBE, the Alexandria database).

The volume comes out at 512 Å³ per cell. For the formation energy, the calculation gives -6.0 kcal/mol of atoms. As for the total energy: -3.36 eV per atom.

The space group is R-3m (No. 166, hexagonal axes) and the conventional cell measures 4.6934, 4.6934 and 26.8349 Å, with angles of 90.00, 90.00 and 120.00 degrees. The distinct sites, in fractional coordinates, are Ho at (0.0000, 0.0000, 0.0000), Er at (0.0000, 0.0000, 0.1276), Zn at (0.0000, 0.0000, 0.3960) and In at (0.0000, 0.0000, 0.2622).

=====

# Ho2ErZn2In2

An optimized crystal structure of Ho2ErZn2In2 (PBE, the Alexandria database).

The volume comes out at 513 Å³ per cell. For the formation energy, the calculation gives -6.0 kcal/mol of atoms. As for the total energy: -3.37 eV per atom.

The space group is R-3m (No. 166, hexagonal axes) and the conventional cell measures 4.6916, 4.6916 and 26.9175 Å, with angles of 90.00, 90.00 and 120.00 degrees. The distinct sites, in fractional coordinates, are Ho at (0.0000, 0.0000, 0.1273), Er at (0.0000, 0.0000, 0.0000), Zn at (0.0000, 0.0000, 0.3947) and In at (0.0000, 0.0000, 0.2632).

=====

# HoErZrIn

An optimized crystal structure of HoErZrIn (PBE, the Alexandria database).

The volume comes out at 423 Å³ per cell. For the formation energy, the calculation gives -1.7 kcal/mol of atoms. As for the total energy: -5.18 eV per atom.

The space group is F-43m (No. 216) and the conventional cell measures 7.508, 7.508 and 7.508 Å, with angles of 90.00, 90.00 and 90.00 degrees. The distinct sites, in fractional coordinates, are Ho at (0.000, 0.000, 0.000), Er at (0.000, 0.000, 0.500), Zr at (0.250, 0.250, 0.750) and In at (0.250, 0.250, 0.250).

=====

# Ho3ErIr8

An optimized crystal structure of Ho3ErIr8 (PBE, the Alexandria database).

The volume comes out at 648 Å³ per cell. For the formation energy, the calculation gives -19.0 kcal/mol of atoms. As for the total energy: -8.25 eV per atom.

The space group is R3m (No. 160, hexagonal axes) and the conventional cell measures 5.3485, 5.3485 and 26.1745 Å, with angles of 90.00, 90.00 and 120.00 degrees. The distinct sites, in fractional coordinates, are Ho at (0.0000, 0.0000, 0.0000), Ho at (0.0000, 0.0000, 0.1250), Ho at (0.0000, 0.0000, 0.5002), Er at (0.0000, 0.0000, 0.6251), Ir at (0.0000, 0.0000, 0.3126), Ir at (0.0000, 0.0000, 0.8126), Ir at (0.9999, 0.5000, 0.0625) and Ir at (0.0000, 0.5000, 0.5627).

=====

# Ho4ErIr5

An optimized crystal structure of Ho4ErIr5 (PBE, the Alexandria database).

The volume comes out at 198 Å³ per cell. For the formation energy, the calculation gives -19.6 kcal/mol of atoms. As for the total energy: -7.57 eV per atom.

The space group is P4/mmm (No. 123) and the conventional cell measures 3.333, 3.333 and 17.783 Å, with angles of 90.00, 90.00 and 90.00 degrees. The distinct sites, in fractional coordinates, are Ho at (0.000, 0.000, 0.100), Ho at (0.000, 0.000, 0.301), Er at (0.000, 0.000, 0.500), Ir at (0.500, 0.500, 0.000), Ir at (0.500, 0.500, 0.200) and Ir at (0.500, 0.500, 0.401).

=====

# HoEr2Ir

An optimized crystal structure of HoEr2Ir (PBE, the Alexandria database).

The volume comes out at 104 Å³ per cell. For the formation energy, the calculation gives -9.8 kcal/mol of atoms. As for the total energy: -6.07 eV per atom.

The space group is P4/mmm (No. 123) and the conventional cell measures 3.449, 3.449 and 8.712 Å, with angles of 90.00, 90.00 and 90.00 degrees. The distinct sites, in fractional coordinates, are Ho at (0.000, 0.000, 0.000), Er at (0.500, 0.500, 0.314) and Ir at (0.000, 0.000, 0.500).

=====

# Ho2ErIr2

An optimized crystal structure of Ho2ErIr2 (PBE, the Alexandria database).

The volume comes out at 117 Å³ per cell. For the formation energy, the calculation gives -19.0 kcal/mol of atoms. As for the total energy: -7.11 eV per atom.

The space group is P-3m1 (No. 164) and the conventional cell measures 4.7353, 4.7353 and 5.9996 Å, with angles of 90.00, 90.00 and 120.00 degrees. The distinct sites, in fractional coordinates, are Ho at (0.3333, 0.6667, 0.3358), Er at (0.0000, 0.0000, 0.0000) and Ir at (0.3333, 0.6667, 0.8301).

=====

# HoErIr

An optimized crystal structure of HoErIr (PBE, the Alexandria database).

The volume comes out at 150 Å³ per cell. For the formation energy, the calculation gives -14.0 kcal/mol of atoms. As for the total energy: -6.61 eV per atom.

The space group is I4mm (No. 107) and the conventional cell measures 3.443, 3.443 and 12.629 Å, with angles of 90.00, 90.00 and 90.00 degrees. The distinct sites, in fractional coordinates, are Ho at (0.000, 0.000, 0.000), Er at (0.000, 0.000, 0.744) and Ir at (0.000, 0.000, 0.371).

=====

# HoEr8Ir6

An optimized crystal structure of HoEr8Ir6 (PBE, the Alexandria database).

The volume comes out at 1042 Å³ per cell. For the formation energy, the calculation gives -19.3 kcal/mol of atoms. As for the total energy: -7.12 eV per atom.

The space group is R-3 (No. 148, hexagonal axes) and the conventional cell measures 8.2133, 8.2133 and 17.8319 Å, with angles of 90.00, 90.00 and 120.00 degrees. The distinct sites, in fractional coordinates, are Ho at (0.0000, 0.0000, 0.0000), Er at (0.0000, 0.0000, 0.3335), Er at (0.0005, 0.3329, 0.2213) and Ir at (0.0002, 0.3333, 0.3901).

=====

# HoEr3Ir

An optimized crystal structure of HoEr3Ir (PBE, the Alexandria database).

The volume comes out at 156 Å³ per cell. For the formation energy, the calculation gives -6.2 kcal/mol of atoms. As for the total energy: -5.69 eV per atom.

The space group is Pm-3m (No. 221) and the conventional cell measures 5.379, 5.379 and 5.379 Å, with angles of 90.00, 90.00 and 90.00 degrees. The distinct sites, in fractional coordinates, are Ho at (0.000, 0.000, 0.000), Er at (0.000, 0.500, 0.500) and Ir at (0.500, 0.500, 0.500).